The following is a DFT calculation (GGA-PBE) of a relaxed Ag3Sb2Se4 crystal.

a b c (Å): 5.5782 9.5166 9.5166
angles (deg): 75.74 80.01 80.01
Last column: nearest neighbours and their distance in Å.
Fractional positions:
Ag  0.9553  0.9624  0.2294  4 Se 2.65-2.91
Ag  0.5447  0.7706  0.0376  4 Se 2.65-2.91
Ag  0.0447  0.0376  0.7706  4 Se 2.65-2.91
Ag  0.4553  0.2294  0.9624  4 Se 2.65-2.91
Ag  0.2500  0.4500  0.5500  2 Se 2.63
Ag  0.7500  0.5500  0.4500  2 Se 2.63
Sb  0.4978  0.1435  0.4028  2 Se 2.65-2.66, 1 Sb 2.90
Sb  0.0022  0.5972  0.8565  2 Se 2.65-2.66, 1 Sb 2.90
Sb  0.5022  0.8565  0.5972  2 Se 2.65-2.66, 1 Sb 2.90
Sb  0.9978  0.4028  0.1435  2 Se 2.65-2.66, 1 Sb 2.90
Se  0.4355  0.0109  0.2004  1 Sb 2.65, 3 Ag 2.67-2.91
Se  0.0645  0.7996  0.9891  1 Sb 2.65, 3 Ag 2.67-2.91
Se  0.5645  0.9891  0.7996  1 Sb 2.65, 3 Ag 2.67-2.91
Se  0.9355  0.2004  0.0109  1 Sb 2.65, 3 Ag 2.67-2.91
Se  0.0448  0.2327  0.5181  2 Ag 2.63-2.65, 1 Sb 2.66
Se  0.4552  0.4819  0.7673  2 Ag 2.63-2.65, 1 Sb 2.66
Se  0.9552  0.7673  0.4819  2 Ag 2.63-2.65, 1 Sb 2.66
Se  0.5448  0.5181  0.2327  2 Ag 2.63-2.65, 1 Sb 2.66

Summary:
Uncorrected formation energy, kJ per mole of atoms: -7

The following is a DFT calculation (GGA-PBE) of a relaxed AlAg6 crystal.

a b c (Å): 2.9201 10.6433 4.0707
angles (deg): 101.37 89.73 98.22
Last column: nearest neighbours and their distance in Å.
Fractional positions:
Ag  0.9916  0.9938  0.9946  8 Ag 2.82-3.00, 4 Al 2.86-2.90
Ag  0.5664  0.1395  0.5690  11 Ag 2.91-3.00, 1 Al 2.92
Ag  0.1410  0.2847  0.1422  12 Ag 2.91-3.00
Ag  0.7162  0.4296  0.7150  12 Ag 2.91-3.00
Ag  0.2907  0.5748  0.2881  11 Ag 2.91-3.00, 1 Al 2.92
Ag  0.8656  0.7205  0.8626  8 Ag 2.82-3.00, 4 Al 2.86-2.90
Al  0.4286  0.8571  0.4286  10 Ag 2.86-2.92, 2 Al 2.92

Summary:
Energy of formation, meV/atom: -1
Energy above the lowest structure with this stoichiometry, eV/atom: 0.009

The following is a DFT calculation (GGA-PBE) of a relaxed KNa3Te crystal.

a b c (Å): 6.0168 6.0168 6.0168
angles (deg): 90.00 90.00 90.00
Last column: nearest neighbours and their distance in Å.
Fractional positions:
Na  0.0000  0.5000  0.0000  2 K 3.01
Na  0.0000  0.0000  0.5000  2 K 3.01
Na  0.5000  0.0000  0.0000  2 K 3.01
K  0.0000  0.0000  0.0000  6 Na 3.01
Te  0.5000  0.5000  0.5000  12 Na 4.25

Summary:
Uncorrected formation energy, kJ per mole of atoms: 26
Energy above the lowest structure with this stoichiometry, eV/atom: 0.663

The following is a DFT calculation (GGA-PBE) of a relaxed UIrN crystal.

a b c (Å): 3.4363 3.4363 7.4250
angles (deg): 90.00 90.00 90.00
Last column: nearest neighbours and their distance in Å.
Fractional positions:
Ir  0.0000  0.5000  0.5926  1 N 2.12
Ir  0.5000  0.0000  0.4074  1 N 2.12
U  0.0000  0.5000  0.1828  5 N 2.27-2.47
U  0.5000  0.0000  0.8172  5 N 2.27-2.47
N  0.5000  0.0000  0.1225  1 Ir 2.12, 1 U 2.27
N  0.0000  0.5000  0.8775  1 Ir 2.12, 1 U 2.27

Summary:
Uncorrected formation energy, kJ per mole of atoms: -78

The following is a DFT calculation (GGA-PBE) of a relaxed CoCl crystal.

a b c (Å): 3.2237 3.2237 3.3928
angles (deg): 90.00 90.00 120.00
Last column: nearest neighbours and their distance in Å.
Fractional positions:
Co  0.6667  0.3333  0.5000  6 Cl 2.52
Cl  0.0000  0.0000  0.0000  6 Co 2.52

Summary:
Uncorrected formation energy, kJ per mole of atoms: 33

The following is a DFT calculation (GGA-PBE) of a relaxed Y2TiRe2 crystal.

a b c (Å): 6.7568 6.7568 4.7124
angles (deg): 90.00 90.00 90.00
Last column: nearest neighbours and their distance in Å.
Fractional positions:
Y  0.1755  0.6755  0.5000  6 Re 3.01-3.14, 1 Y 3.35
Y  0.6755  0.8245  0.5000  6 Re 3.01-3.14, 1 Y 3.35
Y  0.8245  0.3245  0.5000  6 Re 3.01-3.14, 1 Y 3.35
Y  0.3245  0.1755  0.5000  6 Re 3.01-3.14, 1 Y 3.35
Re  0.3718  0.8718  0.0000  1 Re 2.45, 2 Ti 2.66
Re  0.8718  0.6282  0.0000  1 Re 2.45, 2 Ti 2.66
Re  0.6282  0.1282  0.0000  1 Re 2.45, 2 Ti 2.66
Re  0.1282  0.3718  0.0000  1 Re 2.45, 2 Ti 2.66
Ti  0.0000  0.0000  0.0000  4 Re 2.66
Ti  0.5000  0.5000  0.0000  4 Re 2.66

Summary:
Energy of formation, meV/atom: 128

The following is a DFT calculation (GGA-PBE) of a relaxed ReSiGe3 crystal.

a b c (Å): 4.8470 4.8470 4.8470
angles (deg): 90.00 90.00 90.00
Last column: nearest neighbours and their distance in Å.
Fractional positions:
Re  0.0000  0.0000  0.0000  6 Ge 2.42
Ge  0.0000  0.5000  0.0000  2 Re 2.42
Ge  0.0000  0.0000  0.5000  2 Re 2.42
Ge  0.5000  0.0000  0.0000  2 Re 2.42
Si  0.5000  0.5000  0.5000  12 Ge 3.43

Summary:
Uncorrected formation energy, kJ per mole of atoms: 73
Energy above the lowest structure with this stoichiometry, eV/atom: 0.000

The following is a DFT calculation (GGA-PBE) of a relaxed Tb14YAl crystal.

a b c (Å): 6.8515 6.8515 11.0813
angles (deg): 90.00 90.00 106.61
Last column: nearest neighbours and their distance in Å.
Fractional positions:
Tb  0.3760  0.6240  0.5000  12 Tb 3.41-3.80
Tb  0.8209  0.1791  0.5000  10 Tb 3.43-3.56
Tb  0.8903  0.6399  0.0000  2 Y 3.41-3.45, 2 Al 3.42-3.44, 6 Tb 3.44-3.68
Tb  0.8887  0.6945  0.5000  9 Tb 3.33-3.60
Tb  0.3601  0.1097  0.0000  2 Y 3.41-3.45, 2 Al 3.42-3.44, 6 Tb 3.44-3.68
Tb  0.3055  0.1113  0.5000  9 Tb 3.33-3.60
Tb  0.6800  0.9036  0.7660  1 Al 3.11, 4 Tb 3.39-3.48
Tb  0.6800  0.9036  0.2340  1 Al 3.11, 4 Tb 3.39-3.48
Tb  0.0964  0.3200  0.7660  1 Al 3.11, 4 Tb 3.39-3.48
Tb  0.0964  0.3200  0.2340  1 Al 3.11, 4 Tb 3.39-3.48
Tb  0.1708  0.8292  0.7470  9 Tb 3.33-3.55, 1 Y 3.63
Tb  0.1708  0.8292  0.2530  9 Tb 3.33-3.55, 1 Y 3.63
Tb  0.6086  0.3914  0.7426  10 Tb 3.41-3.71, 1 Y 3.79
Tb  0.6086  0.3914  0.2574  10 Tb 3.41-3.71, 1 Y 3.79
Y  0.3812  0.6188  0.0000  12 Tb 3.41-3.79
Al  0.8658  0.1342  0.0000  8 Tb 3.11-3.44

Summary:
Energy of formation, meV/atom: 23

The following is a DFT calculation (GGA-PBE) of a relaxed Ac2La5Pm12 crystal.

a b c (Å): 11.8674 8.9874 9.7511
angles (deg): 70.08 90.00 131.32
Last column: nearest neighbours and their distance in Å.
Fractional positions:
Ac  0.7383  0.0000  0.0000  10 Pm 3.73-3.99, 2 La 3.82
Ac  0.2617  0.0000  0.0000  10 Pm 3.73-3.99, 2 La 3.82
La  0.1898  0.3795  0.6768  6 Pm 3.40-3.78, 1 La 3.68
La  0.3104  0.6208  0.2391  6 Pm 3.47-3.66, 2 La 3.79-3.82, 2 Ac 3.82
La  0.0000  0.0000  0.5000  4 La 3.68-3.79, 6 Pm 3.80-3.88
La  0.6896  0.3792  0.7609  6 Pm 3.47-3.66, 2 La 3.79-3.82, 2 Ac 3.82
La  0.8102  0.6205  0.3232  6 Pm 3.40-3.78, 1 La 3.68
Pm  0.1325  0.2649  0.0540  2 La 3.40-3.60, 3 Pm 3.47-3.66, 2 Ac 3.74
Pm  0.0565  0.6191  0.8053  5 Pm 3.34-3.63, 1 La 3.47, 1 Ac 3.73
Pm  0.5627  0.6191  0.8053  5 Pm 3.34-3.63, 1 La 3.47, 1 Ac 3.73
Pm  0.1707  0.7854  0.4272  4 Pm 3.35-3.63, 1 La 3.66, 1 Ac 3.74
Pm  0.6148  0.7854  0.4272  4 Pm 3.35-3.63, 1 La 3.66, 1 Ac 3.74
Pm  0.4265  0.8529  0.7726  5 Pm 3.34-3.66, 2 La 3.50-3.71
Pm  0.5735  0.1471  0.2274  5 Pm 3.34-3.66, 2 La 3.50-3.71
Pm  0.8293  0.2146  0.5728  4 Pm 3.35-3.63, 1 La 3.66, 1 Ac 3.74
Pm  0.3852  0.2146  0.5728  4 Pm 3.35-3.63, 1 La 3.66, 1 Ac 3.74
Pm  0.9435  0.3809  0.1947  5 Pm 3.34-3.63, 1 La 3.47, 1 Ac 3.73
Pm  0.4373  0.3809  0.1947  5 Pm 3.34-3.63, 1 La 3.47, 1 Ac 3.73
Pm  0.8675  0.7351  0.9460  2 La 3.40-3.60, 3 Pm 3.47-3.66, 2 Ac 3.74

Summary:
Energy of formation, meV/atom: 106

The following is a DFT calculation (GGA-PBE) of a relaxed SiRu2Br crystal.

a b c (Å): 5.1986 5.1986 5.1986
angles (deg): 147.68 120.91 68.98
Last column: nearest neighbours and their distance in Å.
Fractional positions:
Br  0.2500  0.7500  0.5000  4 Ru 2.77, 2 Br 2.89, 4 Si 2.94
Ru  0.9742  0.9742  0.0000  2 Si 2.40
Ru  0.5258  0.5258  0.0000  2 Si 2.40
Si  0.7500  0.2500  0.5000  4 Ru 2.40

Summary:
Uncorrected formation energy, kJ per mole of atoms: 51
Energy above the lowest structure with this stoichiometry, eV/atom: 0.459

The following is a DFT calculation (GGA-PBE) of a relaxed Ca2Ac8Pr3 crystal.

a b c (Å): 7.4365 10.5533 10.5533
angles (deg): 56.02 62.29 62.29
Last column: nearest neighbours and their distance in Å.
Fractional positions:
Ca  0.5207  0.1999  0.1999  7 Ac 3.57-3.98, 3 Pr 3.81-3.90
Ca  0.4793  0.8001  0.8001  7 Ac 3.57-3.98, 3 Pr 3.81-3.90
Ac  0.0168  0.5954  0.5954  4 Ac 3.70-3.94, 1 Ca 3.80, 2 Pr 3.82
Ac  0.9832  0.4046  0.4046  4 Ac 3.70-3.94, 1 Ca 3.80, 2 Pr 3.82
Ac  0.0160  0.1884  0.1884  1 Pr 3.46, 2 Ca 3.57-3.87
Ac  0.9840  0.8116  0.8116  1 Pr 3.46, 2 Ca 3.57-3.87
Ac  0.5381  0.5686  0.2038  4 Ac 3.61-3.97, 2 Ca 3.66-3.98, 2 Pr 3.72-3.73
Ac  0.5381  0.2038  0.5686  4 Ac 3.61-3.97, 2 Ca 3.66-3.98, 2 Pr 3.72-3.73
Ac  0.4619  0.7962  0.4314  4 Ac 3.61-3.97, 2 Ca 3.66-3.98, 2 Pr 3.72-3.73
Ac  0.4619  0.4314  0.7962  4 Ac 3.61-3.97, 2 Ca 3.66-3.98, 2 Pr 3.72-3.73
Pr  0.5000  0.0000  0.0000  6 Ac 3.46-3.72, 2 Ca 3.81
Pr  0.0000  0.1626  0.8374  1 Pr 3.22
Pr  0.0000  0.8374  0.1626  1 Pr 3.22

Summary:
Energy of formation, meV/atom: 201

The following is a DFT calculation (GGA-PBE) of a relaxed CeIn2Rh3 crystal.

a b c (Å): 4.7479 4.7479 5.6614
angles (deg): 90.00 90.00 120.00
Last column: nearest neighbours and their distance in Å.
Fractional positions:
Ce  0.0000  0.0000  0.0000  8 Rh 2.83-2.94
In  0.6667  0.3333  0.3285  8 Rh 2.74-2.92
In  0.3333  0.6667  0.6715  8 Rh 2.74-2.92
Rh  0.0000  0.0000  0.5000  2 Ce 2.83, 6 In 2.91
Rh  0.6667  0.3333  0.8133  5 In 2.74-2.92, 3 Ce 2.94
Rh  0.3333  0.6667  0.1867  5 In 2.74-2.92, 3 Ce 2.94

Summary:
Energy of formation, meV/atom: -572
Energy above the lowest structure with this stoichiometry, eV/atom: 0.014

Computed calculated total energy (eV per cell) in order:
-62.710; -20.860; -6.832; -61.792; -8.259; -90.156; -27.914; -74.666; -87.853; -23.550; -48.600; -36.896
Computed magnetic moment (μB/cell) in order:
0.00; 0.00; 0.00; 0.77; 2.00; 0.00; 1.56; 0.00; 0.00; 0.00; 0.00; 0.28